Here is NaTbEuWO6 after structural relaxation from the Alexandria database. Energies are from PBE+U.

a b c (Å): 5.907 5.907 5.907
angles (deg): 60.00 60.00 60.00
Site moments in Bohr magnetons follow the coordinates.
Positions (direct):
Na: 0.750 0.750 0.750  0.00
Tb: 0.000 0.000 0.000  0.02
Eu: 0.250 0.250 0.250  6.85
W: 0.500 0.500 0.500  0.05
O: 0.267 0.733 0.267  -0.01
O: 0.733 0.267 0.733  -0.01
O: 0.267 0.733 0.733  -0.01
O: 0.733 0.267 0.267  -0.01
O: 0.267 0.267 0.733  -0.01
O: 0.733 0.733 0.267  -0.01

## Properties
ρ ... 6.99 g cm⁻³
Uncorrected energy ... -7.8994 eV/atom
Space group ... F-43m